[1]
An optimized crystal structure of Ge2Mo2As, computed with PBE.

Lattice parameters (Å, degrees): 5.3080 5.3080 5.3080 128.20 128.20 76.30
With the nearest neighbours (Å) after each atom.
Positions (direct):
Ge 0.3599 0.3599 0.0000  1 Ge 2.34, 4 Mo 2.49
Mo 0.7500 0.2500 0.5000  4 Ge 2.49
Ge 0.6401 0.6401 0.0000  1 Ge 2.34, 4 Mo 2.49
Mo 0.2500 0.7500 0.5000  4 Ge 2.49
As 0.0000 0.0000 0.0000  2 Ge 3.00, 8 Mo 3.12

Results
The calculation puts the energy relative to the lowest polymorph listed for this composition at 364.8 meV per atom. The value obtained for the uncorrected energy is -6.62 eV per atom. The calculated volume is 18.0 A^3/atom.

---

[2]
An optimized crystal structure of Ge2MoAs, computed with PBE.

Lattice parameters (Å, degrees): 4.5754 4.5754 4.5754 60.00 60.00 60.00
With the nearest neighbours (Å) after each atom.
Positions (direct):
Mo 0.2500 0.2500 0.2500  4 Ge 2.80, 4 As 2.80
Ge 0.0000 0.0000 0.0000  4 Mo 2.80, 4 Ge 2.80
As 0.5000 0.5000 0.5000  4 Ge 2.80, 4 Mo 2.80
Ge 0.7500 0.7500 0.7500  4 As 2.80, 4 Ge 2.80

Results
The value obtained for the uncorrected energy is -5.72 eV per atom. The calculated volume is 16.9 A^3/atom.

---

[3]
An optimized crystal structure of GeMoAs, computed with PBE.

Lattice parameters (Å, degrees): 4.3173 4.3173 4.3173 60.00 60.00 60.00
With the nearest neighbours (Å) after each atom.
Positions (direct):
Mo 0.7500 0.7500 0.7500  4 As 2.64
Ge 0.2500 0.2500 0.2500  4 As 2.64
As 0.0000 0.0000 0.0000  4 Mo 2.64, 4 Ge 2.64

Results
The calculation puts the energy relative to the lowest polymorph listed for this composition at 706.5 meV per atom. The value obtained for the uncorrected energy is -6.06 eV per atom. The calculated volume is 19.0 A^3/atom.